Entry 1:
Entry from Alexandria via LeMat-Bulk: SrY2Mg at its PBEsol-relaxed geometry (meta-GGA SCAN).

Summary:
energy of formation: 0.048 eV/atom
DFT total energy: -20.69 eV per atom
SG: P4mm, No. 99

Cell lengths 3.7082, 3.7082, 9.5012 Å; angles 90.00, 90.00, 90.00 degrees
Last column: nearest neighbours and their distance in Å.
Fractional positions:
Y: 0.5000 0.5000 0.2678  4 Mg 3.26, 4 Y 3.45
Sr: 0.5000 0.5000 0.7278  4 Mg 3.58, 4 Sr 3.71, 4 Y 3.91
Mg: 0.0000 0.0000 0.4719  4 Y 3.26, 4 Sr 3.58
Y: 0.0000 0.0000 0.0326  8 Y 3.45-3.71

Entry 2:
Entry from Alexandria via LeMat-Bulk: KBeCr at its PBEsol-relaxed geometry (meta-GGA SCAN).

Summary:
energy of formation: 0.667 eV/atom
DFT total energy: -9.69 eV per atom
SG: I4mm, No. 107

Cell lengths 3.1993, 3.1993, 6.3672 Å; angles 104.55, 104.55, 90.00 degrees
Last column: nearest neighbours and their distance in Å.
Fractional positions:
Be: 0.9438 0.9438 0.8875  4 Cr 2.34
K: 0.6619 0.6619 0.3238  1 Cr 3.18, 4 K 3.20, 5 Be 3.36-3.44
Cr: 0.3943 0.3943 0.7887  4 Be 2.34

Entry 3:
Entry from Alexandria via LeMat-Bulk: IrRu2W at its PBEsol-relaxed geometry (meta-GGA SCAN).

Summary:
relative energy among the computed polymorphs: 0.00 kJ per mole of atoms
energy of formation: -0.216 eV/atom
DFT total energy: -52.83 eV per atom
SG: P4/mmm, No. 123

Cell lengths 3.8169, 3.8315, 3.8315 Å; angles 90.00, 90.00, 90.00 degrees
Last column: nearest neighbours and their distance in Å.
Fractional positions:
Ru: 0.0000 0.0000 0.5000  4 W 2.70, 4 Ir 2.70, 4 Ru 2.71
Ru: 0.0000 0.5000 0.0000  4 W 2.70, 4 Ir 2.70, 4 Ru 2.71
W: 0.5000 0.5000 0.5000  8 Ru 2.70, 4 Ir 2.71
Ir: 0.5000 0.0000 0.0000  8 Ru 2.70, 4 W 2.71

- Which value of energy of formation does entry 1 give?
  0.048 eV/atom

- energy of formation of number 2 (KBeCr)?
  0.667 eV/atom

- What is the DFT total energy in the first record?
  -20.69 eV per atom